Record 1
KBeSb3: optimized geometry, PBE.

ΔE_f (raw): 8.796 eV/f.u.
Space-group type: Pm-3m
ΔE to the lowest computed polymorph: 1.558 eV per atom

```
KBeSb3
1.0
-4.0694 2.0620 -3.6279
-4.1493 -1.4599 3.8244
0.4442 5.2526 2.4872
Sb K Be
3 1 1
direct
0.0000 0.5000 0.0000
0.0000 0.0000 0.5000
0.5000 0.0000 0.0000
0.0000 0.0000 0.0000
0.5000 0.5000 0.5000
```

***

Record 2
KBe3Sb: optimized geometry, PBE.

ΔE_f (raw): 10.941 eV/f.u.
Space-group type: Pm-3m
ΔE to the lowest computed polymorph: 1.077 eV per atom

```
KBe3Sb
1.0
-2.3606 4.3690 -0.7431
-4.2477 -1.9904 1.7909
1.2637 1.4705 4.6317
Sb K Be
1 1 3
direct
0.5000 0.5000 0.5000
0.0000 0.0000 0.0000
0.0000 0.5000 0.0000
0.0000 0.0000 0.5000
0.5000 0.0000 0.0000
```

***

Record 3
KBeSb2: optimized geometry, PBE.

ΔE_f (raw): 2.014 eV/f.u.
Space-group type: I-4m2

```
KBeSb2
1.0
-3.4594 2.5125 3.9382
-5.6045 -1.1142 -1.0666
4.7097 -3.3798 0.4305
Sb K Be
2 1 1
direct
0.0000 0.0000 0.0000
0.2500 0.7500 0.5000
0.7500 0.2500 0.5000
0.5000 0.5000 0.0000
```

***

Record 4
KBe2Sb: optimized geometry, PBE.

ΔE_f (raw): 3.675 eV/f.u.
Space-group type: I-4m2

```
KBe2Sb
1.0
-0.3353 -4.8449 -0.7843
4.0542 0.1856 -2.7803
0.1008 1.7376 4.6012
Sb K Be
1 1 2
direct
0.7500 0.2500 0.5000
0.5000 0.5000 0.0000
0.0000 0.0000 0.0000
0.2500 0.7500 0.5000
```

***

Record 5
KBe2Sb: optimized geometry, PBE.

ΔE_f (raw): 3.921 eV/f.u.
Space-group type: P2/m

```
KBe2Sb
1.0
2.8707 0.0000 0.0000
0.0000 5.8767 -0.0522
0.0000 3.1577 5.0501
Sb K Be
1 1 2
direct
0.0000 0.0000 0.5000
0.5000 0.5000 0.5000
0.0000 0.0000 0.0000
0.5000 0.5000 0.0000
```

***

Record 6
KBeSb2: optimized geometry, PBE.

ΔE_f (raw): 0.535 eV/f.u.
Space-group type: R-3m

```
KBeSb2
1.0
9.1739 -0.0750 -0.0444
8.4598 3.5494 -0.0444
8.4598 1.6669 3.1340
Sb K Be
2 1 1
direct
0.9733 0.9733 0.9733
0.5267 0.5267 0.5267
0.7500 0.7500 0.7500
0.2500 0.2500 0.2500
```